Below is Cu7Ag after structural relaxation, with properties calculated at the PBEsol level.

CIF file:
```
data_Cu7Ag
_symmetry_space_group_name_H-M 'F m -3 m'
_symmetry_Int_Tables_number 225
_symmetry_space_group_name_Hall '-F 4 2 3'
_cell_length_a 7.2685
_cell_length_b 7.2685
_cell_length_c 7.2685
_cell_angle_alpha 90.00
_cell_angle_beta 90.00
_cell_angle_gamma 90.00
loop_
_atom_site_label
_atom_site_type_symbol
_atom_site_fract_x
_atom_site_fract_y
_atom_site_fract_z
Cu1 Cu 0.0000 0.0000 0.0000
Cu2 Cu 0.0000 0.2500 0.2500
Ag1 Ag 0.0000 0.0000 0.5000
```

The density of states at the Fermi level comes out at 0.33 states/eV/atom. The formation energy is 60 meV/atom.